{
  "formula": "NaCa2YHg",
  "functional": "PBEsol",
  "state": "relaxed",
  "total_magnetization_mub_per_cell": 0.0,
  "formation_energy_ev_per_atom": 0.196,
  "crystal_system": "tetragonal",
  "dos_ef_per_ev_fu": 5.84,
  "spacegroup": "No. 123",
  "lattice_angstrom": [[5.421, 0.000, 0.000], [0.000, 5.799, 0.000], [0.000, 0.000, 5.799]],
  "species": ["Y", "Na", "Ca", "Ca", "Hg"],
  "frac_coords": [[0.500, 0.500, 0.500], [0.500, 0.000, 0.000], [0.000, 0.000, 0.500], [0.000, 0.500, 0.000], [0.000, 0.000, 0.000]]
}